(1)
# CaNdHgRu

Crystalline CaNdHgRu at its relaxed geometry (PBE, Alexandria).

Cell and atoms, written as POSCAR:
```
CaNdHgRu
1.0
-0.653 -3.775 -3.413
2.353 -4.508 0.679
-2.732 -4.156 1.262
Ru Ca Nd Hg
1 1 1 1
direct
0.750 0.750 0.750 Ru
0.000 0.000 0.000 Ca
0.500 0.500 0.500 Nd
0.250 0.250 0.250 Hg
```

## Properties
The value obtained for the energy relative to the elements is -55 kJ/mol of formula units.

---

(2)
# SrLiSn2Au

Crystalline SrLiSn2Au at its relaxed geometry (PBE, Alexandria).

Cell and atoms, written as POSCAR:
```
SrLiSn2Au
1.0
4.640 0.000 0.000
0.000 4.640 0.000
-2.320 -2.320 5.910
Sr Li Sn Au
1 1 2 1
direct
0.000 0.000 0.000 Sr
0.750 0.250 0.500 Li
0.620 0.620 0.241 Sn
0.380 0.380 0.759 Sn
0.250 0.750 0.500 Au
```

## Properties
The value obtained for the energy relative to the elements is -261 kJ/mol of formula units.

---

(3)
# La2Nd3Hg2

Crystalline La2Nd3Hg2 at its relaxed geometry (PBE, Alexandria).

Cell and atoms, written as POSCAR:
```
La2Nd3Hg2
1.0
4.828 0.000 0.000
-2.414 6.163 -0.208
0.000 -3.097 7.896
La Nd Hg
2 3 2
direct
0.860 0.721 0.204 La
0.140 0.279 0.796 La
0.500 0.000 0.000 Nd
0.629 0.257 0.462 Nd
0.371 0.743 0.538 Nd
0.849 0.698 0.797 Hg
0.151 0.302 0.203 Hg
```

## Properties
The value obtained for the energy relative to the elements is -136 kJ/mol of formula units. The energy above the lowest structure with this stoichiometry is 18 meV/atom.

---

(4)
# Li2CdRe

Crystalline Li2CdRe at its relaxed geometry (PBE, Alexandria).

Cell and atoms, written as POSCAR:
```
Li2CdRe
1.0
5.089 0.000 0.000
2.101 4.635 0.000
-3.595 -2.317 2.757
Cd Li Re
1 2 1
direct
0.750 0.250 0.500 Cd
0.000 0.000 0.000 Li
0.500 0.500 0.000 Li
0.250 0.750 0.500 Re
```

## Properties
The value obtained for the energy relative to the elements is 246 kJ/mol of formula units.

---

(5)
# Y2Ho5Th

Crystalline Y2Ho5Th at its relaxed geometry (PBE, Alexandria).

Cell and atoms, written as POSCAR:
```
Y2Ho5Th
1.0
6.474 -2.874 0.000
-8.256 11.978 0.000
0.000 0.000 9.949
Y Ho Th
4 10 2
direct
0.857 0.635 0.407 Y
0.857 0.635 0.093 Y
0.143 0.365 0.593 Y
0.143 0.365 0.907 Y
0.250 0.000 0.971 Ho
0.250 0.000 0.529 Ho
0.366 0.635 0.408 Ho
0.366 0.635 0.092 Ho
0.489 0.278 0.250 Ho
0.511 0.722 0.750 Ho
0.634 0.365 0.592 Ho
0.634 0.365 0.908 Ho
0.750 0.000 0.029 Ho
0.750 0.000 0.471 Ho
0.009 0.719 0.750 Th
0.991 0.281 0.250 Th
```

## Properties
The value obtained for the energy relative to the elements is 214 kJ/mol of formula units. The energy above the lowest structure with this stoichiometry is 248 meV/atom.

---

(6)
# Th2AlCo12P3

Crystalline Th2AlCo12P3 at its relaxed geometry (PBE, Alexandria).

Cell and atoms, written as POSCAR:
```
Th2AlCo12P3
1.0
6.037 -1.328 -0.942
1.827 5.905 -0.942
1.827 1.063 5.885
Th Al Co P
2 1 12 3
direct
0.648 0.648 0.648 Th
0.352 0.352 0.352 Th
0.000 0.000 0.000 Al
0.377 0.377 0.899 Co
0.821 0.821 0.311 Co
0.311 0.821 0.821 Co
0.899 0.377 0.377 Co
0.821 0.311 0.821 Co
0.377 0.899 0.377 Co
0.623 0.623 0.101 Co
0.179 0.179 0.689 Co
0.689 0.179 0.179 Co
0.101 0.623 0.623 Co
0.179 0.689 0.179 Co
0.623 0.101 0.623 Co
0.500 0.000 0.000 P
0.000 0.500 0.000 P
0.000 0.000 0.500 P
```

## Properties
The value obtained for the energy relative to the elements is -73 kJ/mol of formula units.

---

(7)
# ZnNi2Sn2

Crystalline ZnNi2Sn2 at its relaxed geometry (PBE, Alexandria).

Cell and atoms, written as POSCAR:
```
ZnNi2Sn2
1.0
7.635 0.000 0.000
0.000 7.635 0.000
0.000 0.000 2.982
Ni Zn Sn
4 2 4
direct
0.124 0.624 0.500 Ni
0.624 0.876 0.500 Ni
0.876 0.376 0.500 Ni
0.376 0.124 0.500 Ni
0.000 0.000 0.000 Zn
0.500 0.500 0.000 Zn
0.331 0.831 0.000 Sn
0.831 0.669 0.000 Sn
0.669 0.169 0.000 Sn
0.169 0.331 0.000 Sn
```

## Properties
The value obtained for the energy relative to the elements is 40 kJ/mol of formula units. The energy above the lowest structure with this stoichiometry is 146 meV/atom.

---

(8)
# ZrTaPt2

Crystalline ZrTaPt2 at its relaxed geometry (PBE, Alexandria).

Cell and atoms, written as POSCAR:
```
ZrTaPt2
1.0
9.716 0.033 0.019
9.272 2.904 0.019
9.272 1.434 2.525
Pt Ta Zr
2 1 1
direct
0.997 0.997 0.997 Pt
0.503 0.503 0.503 Pt
0.250 0.250 0.250 Ta
0.750 0.750 0.750 Zr
```

## Properties
The value obtained for the energy relative to the elements is -153 kJ/mol of formula units.

---

(9)
# Cr2RePd

Crystalline Cr2RePd at its relaxed geometry (PBE, Alexandria).

Cell and atoms, written as POSCAR:
```
Cr2RePd
1.0
-2.965 0.007 0.896
0.871 -0.709 2.886
0.404 5.762 1.294
Re Pd Cr
1 1 2
direct
0.500 0.500 0.000 Re
0.500 0.500 0.500 Pd
0.000 0.000 0.762 Cr
0.000 0.000 0.238 Cr
```

## Properties
The value obtained for the energy relative to the elements is 55 kJ/mol of formula units.

---

(10)
# Ac2GeRh

Crystalline Ac2GeRh at its relaxed geometry (PBE, Alexandria).

Cell and atoms, written as POSCAR:
```
Ac2GeRh
1.0
3.705 0.000 0.000
0.000 3.705 0.000
0.000 0.000 8.103
Ac Rh Ge
2 1 1
direct
0.000 0.000 0.772 Ac
0.000 0.000 0.228 Ac
0.500 0.500 0.000 Rh
0.500 0.500 0.500 Ge
```

## Properties
The value obtained for the energy relative to the elements is -203 kJ/mol of formula units.

---

(11)
# Mg2TaP

Crystalline Mg2TaP at its relaxed geometry (PBE, Alexandria).

Cell and atoms, written as POSCAR:
```
Mg2TaP
1.0
-3.656 -1.889 -1.645
1.478 -0.781 -2.390
2.356 -5.341 0.897
Mg P Ta
2 1 1
direct
0.000 0.989 0.997 Mg
0.500 0.398 0.253 Mg
0.000 0.493 0.534 P
0.500 0.620 0.717 Ta
```

## Properties
The value obtained for the energy relative to the elements is 17 kJ/mol of formula units.

---

(12)
# KLi2ErBr6

Crystalline KLi2ErBr6 at its relaxed geometry (PBE, Alexandria).

Cell and atoms, written as POSCAR:
```
KLi2ErBr6
1.0
7.263 -0.001 0.001
3.631 6.288 0.001
3.632 2.097 6.659
K Li Er Br
1 2 1 6
direct
0.805 0.805 0.584 K
0.519 0.519 0.442 Li
0.009 0.010 0.971 Li
0.323 0.323 0.030 Er
0.587 0.260 0.237 Br
0.260 0.916 0.237 Br
0.916 0.587 0.237 Br
0.343 0.737 0.759 Br
0.737 0.161 0.759 Br
0.161 0.343 0.759 Br
```

## Properties
The calculation puts the formation energy without anion corrections at -1691.4 meV/atom.

---

(13)
# Na3Tl2In6

Crystalline Na3Tl2In6 at its relaxed geometry (PBE, Alexandria).

Cell and atoms, written as POSCAR:
```
Na3Tl2In6
1.0
4.861 0.000 0.000
0.000 7.693 -4.441
0.000 0.000 8.883
Na Tl In
3 2 6
direct
0.500 0.555 0.000 Na
0.500 0.000 0.555 Na
0.500 0.445 0.445 Na
0.000 0.667 0.333 Tl
0.000 0.333 0.667 Tl
0.500 0.216 0.000 In
0.500 0.784 0.784 In
0.000 0.778 0.000 In
0.000 0.000 0.778 In
0.500 0.000 0.216 In
0.000 0.222 0.222 In
```

## Properties
The value obtained for the energy relative to the elements is 5 kJ/mol of formula units.

---

(14)
# KIn2Bi2

Crystalline KIn2Bi2 at its relaxed geometry (PBE, Alexandria).

Cell and atoms, written as POSCAR:
```
KIn2Bi2
1.0
9.405 0.000 0.000
0.000 9.405 0.000
0.000 0.000 3.776
K Bi In
2 4 4
direct
0.000 0.000 0.000 K
0.500 0.500 0.000 K
0.351 0.851 0.000 Bi
0.851 0.649 0.000 Bi
0.649 0.149 0.000 Bi
0.149 0.351 0.000 Bi
0.144 0.644 0.500 In
0.644 0.856 0.500 In
0.856 0.356 0.500 In
0.356 0.144 0.500 In
```

## Properties
The value obtained for the energy relative to the elements is -47 kJ/mol of formula units. The energy above the lowest structure with this stoichiometry is 98 meV/atom.

---

(15)
# KRuRh2

Crystalline KRuRh2 at its relaxed geometry (PBE, Alexandria).

Cell and atoms, written as POSCAR:
```
KRuRh2
1.0
0.239 -3.510 -2.971
-2.655 -0.017 -3.763
1.888 0.624 -4.153
Ru K Rh
1 1 2
direct
0.500 0.500 0.500 Ru
0.000 0.000 0.000 K
0.250 0.250 0.250 Rh
0.750 0.750 0.750 Rh
```

## Properties
The value obtained for the energy relative to the elements is 412 kJ/mol of formula units. The energy above the lowest structure with this stoichiometry is 634 meV/atom.

---

(16)
# AcLaScAl

Crystalline AcLaScAl at its relaxed geometry (PBE, Alexandria).

Cell and atoms, written as POSCAR:
```
AcLaScAl
1.0
5.489 0.000 0.000
2.744 4.754 0.000
2.744 1.585 4.482
Sc Ac Al La
1 1 1 1
direct
0.000 0.000 0.000 Sc
0.250 0.250 0.250 Ac
0.750 0.750 0.750 Al
0.500 0.500 0.500 La
```

## Properties
The value obtained for the energy relative to the elements is 26 kJ/mol of formula units.

---

(17)
# LiSmPa4N8

Crystalline LiSmPa4N8 at its relaxed geometry (PBE, Alexandria).

Cell and atoms, written as POSCAR:
```
LiSmPa4N8
1.0
7.093 0.000 0.000
3.546 6.143 0.000
3.546 2.048 5.189
Li Sm Pa N
1 1 4 8
direct
0.991 0.991 0.028 Li
0.377 0.377 0.868 Sm
0.599 0.599 0.202 Pa
0.997 0.497 0.508 Pa
0.497 0.997 0.508 Pa
0.997 0.997 0.508 Pa
0.271 0.782 0.677 N
0.782 0.271 0.677 N
0.271 0.271 0.677 N
0.231 0.231 0.308 N
0.758 0.223 0.262 N
0.223 0.758 0.262 N
0.758 0.758 0.262 N
0.749 0.749 0.753 N
```

## Properties
The calculation puts the formation energy without anion corrections at -1432.3 meV/atom.

---

(18)
# ScReRu2

Crystalline ScReRu2 at its relaxed geometry (PBE, Alexandria).

Cell and atoms, written as POSCAR:
```
ScReRu2
1.0
-1.256 2.711 -0.733
-2.207 -1.978 -3.537
-3.373 -0.863 2.588
Re Ru Sc
1 2 1
direct
0.000 0.500 0.500 Re
0.000 0.000 0.000 Ru
0.500 0.500 0.000 Ru
0.500 0.000 0.500 Sc
```

## Properties
The value obtained for the energy relative to the elements is 15 kJ/mol of formula units.

---

(19)
# YThPt2

Crystalline YThPt2 at its relaxed geometry (PBE, Alexandria).

Cell and atoms, written as POSCAR:
```
YThPt2
1.0
3.835 0.000 -0.022
0.000 4.501 0.000
-1.876 0.000 5.465
Y Th Pt
1 1 2
direct
0.721 0.000 0.982 Y
0.446 0.500 0.431 Th
0.174 0.500 0.887 Pt
0.990 0.000 0.518 Pt
```

## Properties
The value obtained for the energy relative to the elements is -490 kJ/mol of formula units. The energy above the lowest structure with this stoichiometry is 4 meV/atom.

---

(20)
# TcMo2Ru

Crystalline TcMo2Ru at its relaxed geometry (PBE, Alexandria).

Cell and atoms, written as POSCAR:
```
TcMo2Ru
1.0
2.715 0.012 0.000
-0.913 2.557 0.000
0.000 0.000 8.712
Mo Ru Tc
2 1 1
direct
0.000 0.000 0.002 Mo
0.000 0.000 0.498 Mo
0.500 0.500 0.250 Ru
0.500 0.500 0.750 Tc
```

## Properties
The value obtained for the energy relative to the elements is 64 kJ/mol of formula units. The energy above the lowest structure with this stoichiometry is 63 meV/atom.

---

(21)
# NbI3Br

Crystalline NbI3Br at its relaxed geometry (PBE, Alexandria).

Cell and atoms, written as POSCAR:
```
NbI3Br
1.0
-4.025 -4.704 1.136
6.187 -4.740 2.292
-3.838 4.607 5.482
Nb I Br
2 6 2
direct
0.024 0.000 0.000 Nb
0.476 0.000 0.000 Nb
0.750 0.678 0.839 I
0.250 0.831 0.662 I
0.250 0.338 0.169 I
0.750 0.161 0.322 I
0.250 0.831 0.169 I
0.750 0.161 0.839 I
0.750 0.667 0.333 Br
0.250 0.333 0.667 Br
```

## Properties
The energy above the lowest structure with this stoichiometry is 146 meV/atom. The calculation puts the formation energy without anion corrections at -353.6 meV/atom.

---

(22)
# Sc2RuCl

Crystalline Sc2RuCl at its relaxed geometry (PBE, Alexandria).

Cell and atoms, written as POSCAR:
```
Sc2RuCl
1.0
1.510 -6.259 4.730
1.232 -7.800 1.209
4.529 -6.153 2.337
Sc Ru Cl
2 1 1
direct
0.891 0.891 0.891 Sc
0.109 0.109 0.109 Sc
0.500 0.500 0.500 Ru
0.000 0.000 0.000 Cl
```

## Properties
The energy above the lowest structure with this stoichiometry is 254 meV/atom. The calculation puts the formation energy without anion corrections at -738.4 meV/atom.

---

(23)
# ScCuSiP2

Crystalline ScCuSiP2 at its relaxed geometry (PBE, Alexandria).

Cell and atoms, written as POSCAR:
```
ScCuSiP2
1.0
-3.145 -3.682 0.073
2.195 -1.796 3.976
-2.971 2.593 2.811
Sc P Si Cu
1 2 1 1
direct
0.000 0.000 0.000 Sc
0.000 0.000 0.500 P
0.500 0.000 0.000 P
0.500 0.500 0.500 Si
0.000 0.500 0.000 Cu
```

## Properties
The calculation puts the formation energy without anion corrections at 866.3 meV/atom.

---

(24)
# Ce4USb5

Crystalline Ce4USb5 at its relaxed geometry (PBE, Alexandria).

Cell and atoms, written as POSCAR:
```
Ce4USb5
1.0
4.355 0.000 -0.840
-0.327 6.099 -1.693
0.042 0.019 11.926
Ce U Sb
4 1 5
direct
0.401 0.401 0.801 Ce
0.801 0.801 0.601 Ce
0.199 0.199 0.399 Ce
0.599 0.599 0.199 Ce
0.000 0.000 0.000 U
0.598 0.098 0.195 Sb
0.800 0.300 0.600 Sb
0.200 0.700 0.400 Sb
0.000 0.500 0.000 Sb
0.402 0.902 0.805 Sb
```

## Properties
The calculation puts the formation energy without anion corrections at -855.8 meV/atom.

---

(25)
# CuAuCl2

Crystalline CuAuCl2 at its relaxed geometry (PBE, Alexandria).

Cell and atoms, written as POSCAR:
```
CuAuCl2
1.0
3.548 0.000 0.000
0.000 4.336 -0.128
0.000 0.630 6.455
Au Cu Cl
1 1 2
direct
0.500 0.756 0.660 Au
0.000 0.279 0.585 Cu
0.000 0.025 0.894 Cl
0.500 0.440 0.361 Cl
```

## Properties
The energy above the lowest structure with this stoichiometry is 26 meV/atom. The calculation puts the formation energy without anion corrections at -202.8 meV/atom.

---

(26)
# Tb2SmYHo

Crystalline Tb2SmYHo at its relaxed geometry (PBE, Alexandria).

Cell and atoms, written as POSCAR:
```
Tb2SmYHo
1.0
-5.007 2.199 4.673
3.577 -4.614 6.004
1.535 6.778 -1.545
Tb Sm Y Ho
4 2 2 2
direct
0.500 0.309 0.000 Tb
0.000 0.691 0.000 Tb
0.500 0.691 0.000 Tb
0.000 0.309 0.000 Tb
0.250 0.719 0.438 Sm
0.750 0.281 0.562 Sm
0.750 0.734 0.467 Y
0.250 0.266 0.533 Y
0.250 0.986 0.972 Ho
0.750 0.014 0.028 Ho
```

## Properties
The value obtained for the energy relative to the elements is 187 kJ/mol of formula units.